18
Lattice="0.1663 7.1622 5.9551 2.3859 -3.6875 8.2158 8.7036 3.1928 6.7779" Properties=species:S:1:pos:R:3 comment="Ho3Tm5Mg PBE-GGA relaxed" m_tot_mub_per_fu=0.00 final_energy_ev_per_cell=-65.87 sg=C2/m pbc="T T T"
Ho 0.0000 0.0000 0.0000
Ho 2.3170 1.6397 5.5946
Ho 8.9388 5.0279 15.3543
Ho 6.4412 3.2238 9.1479
Ho 4.3518 1.5964 3.3890
Ho 4.8147 3.4438 11.8009
Tm 0.7373 0.7525 2.8875
Tm 7.0165 6.5377 10.2009
Tm 3.1170 5.6158 9.6049
Tm 0.7435 4.3408 6.5430
Tm 3.3578 2.4525 8.4738
Tm 10.5186 5.9151 18.0613
Tm 1.8087 -0.8661 7.6279
Tm 4.2393 0.1299 10.7480
Tm 8.1388 1.0518 11.3439
Tm 7.8981 4.2150 12.4751
Mg 5.6118 4.2403 14.8411
Mg 5.6441 2.4272 6.1077